SmCoO3 PBE with a Hubbard U optimized geometry; calculated volume = 10.86 A^3/atom; space group = R-3c (167); final energy = -71.198 eV/cell
1.0
2.711 -1.565 -4.266
-2.711 -1.565 -4.266
0.000 3.130 -4.266
Co O Sm
2 6 2
Cartesian
0.000 0.000 0.000 Co
0.000 0.000 -6.400 Co
1.155 -1.129 -5.333 O
-0.401 -1.565 -7.466 O
-1.556 -0.436 -5.333 O
1.556 0.436 -7.466 O
0.401 1.565 -5.333 O
-1.155 1.129 -7.466 O
0.000 0.000 -3.200 Sm
0.000 0.000 -9.599 Sm